Entry w
VASP calculation (GGA-PBE) on a relaxed PrDyPO crystal.

abc: 4.402 4.402 8.885
angles: 90.00 90.00 90.00
Sites, in units of the cell vectors:
Pr1 0.500 0.000 0.886
Dy1 0.000 0.000 0.500
O1 0.000 0.000 0.000
Dy2 0.500 0.500 0.500
Pr2 0.000 0.500 0.114
O2 0.500 0.500 0.000
P1 0.500 0.000 0.314
P2 0.000 0.500 0.686

Results
Space-group type: P4/nmm (129)
Calculated density (Mg/m³): 6.8
Total moment (μB/atom): 0.00

Entry x
VASP calculation (GGA-PBE) on a relaxed PrDyPO crystal.

abc: 4.329 7.481 5.992
angles: 90.00 90.00 90.00
Sites, in units of the cell vectors:
Dy1 0.000 0.619 0.508
P1 0.500 0.820 0.434
Dy2 0.000 0.381 0.008
P2 0.500 0.180 0.934
Pr1 0.500 0.198 0.439
O1 0.000 0.341 0.373
Pr2 0.500 0.802 0.939
O2 0.000 0.659 0.873

Results
Space-group type: Pmc2_1 (26)
Calculated density (Mg/m³): 6.0
Total moment (μB/atom): 0.00

Energetically preferred structure: entry x | next structure: +0.083 eV/atom

Entry w
VASP calculation (GGA-PBE) on a relaxed Cu2Ag3 crystal.

abc: 7.642 7.642 7.559
angles: 104.23 104.23 21.35
Sites, in units of the cell vectors:
Cu1 0.595 0.595 0.308
Ag1 0.412 0.412 0.709
Ag2 0.405 0.405 0.201
Ag3 0.600 0.600 0.788
Ag4 0.798 0.798 0.415
Cu2 0.189 0.189 0.578
Ag5 0.795 0.795 0.884
Cu3 0.006 0.006 0.490
Cu4 0.007 0.007 0.016
Ag6 0.193 0.193 0.110

Results
Space-group type: Cm (8)
Calculated density (Mg/m³): 9.6

Entry x
VASP calculation (GGA-PBE) on a relaxed Cu2Ag3 crystal.

abc: 10.023 10.023 3.970
angles: 90.00 90.00 157.13
Sites, in units of the cell vectors:
Ag1 0.056 0.944 0.750
Cu1 0.750 0.250 0.250
Ag2 0.556 0.444 0.250
Cu2 0.337 0.663 0.250
Ag3 0.944 0.056 0.250
Cu3 0.663 0.337 0.750
Ag4 0.444 0.556 0.750
Ag5 0.839 0.161 0.750
Cu4 0.250 0.750 0.750
Ag6 0.161 0.839 0.250

Results
Space-group type: Cmcm (63)
Calculated density (Mg/m³): 9.7

Entry y
VASP calculation (GGA-PBE) on a relaxed Cu2Ag3 crystal.

abc: 6.163 6.163 9.341
angles: 102.19 102.19 26.70
Sites, in units of the cell vectors:
Ag1 0.500 0.500 0.000
Ag2 0.710 0.710 0.608
Cu1 0.801 0.801 0.903
Cu2 0.199 0.199 0.097
Cu3 0.599 0.599 0.290
Cu4 0.401 0.401 0.710
Ag3 0.104 0.104 0.805
Ag4 0.000 0.000 0.500
Ag5 0.290 0.290 0.392
Ag6 0.896 0.896 0.195

Results
Space-group type: C2/m (12)
Calculated density (Mg/m³): 9.6

Energetically preferred structure: entry x | next structure: +0.011 eV/atom

Entry w
VASP calculation (GGA-PBE) on a relaxed Cu2Ag3 crystal.

abc: 7.498 7.498 5.723
angles: 102.16 102.16 29.84
Sites, in units of the cell vectors:
Ag1 0.504 0.504 0.764
Cu1 0.106 0.106 0.043
Cu2 0.894 0.894 0.957
Ag2 0.302 0.302 0.669
Ag3 0.496 0.496 0.236
Ag4 0.104 0.104 0.559
Cu3 0.705 0.705 0.866
Cu4 0.295 0.295 0.134
Ag5 0.698 0.698 0.331
Ag6 0.896 0.896 0.441

Results
Space-group type: C2/m (12)
Calculated density (Mg/m³): 9.6

Entry x
VASP calculation (GGA-PBE) on a relaxed Cu2Ag3 crystal.

abc: 9.654 9.654 5.804
angles: 99.05 99.05 16.98
Sites, in units of the cell vectors:
Cu1 0.406 0.406 0.701
Ag1 0.586 0.586 0.290
Ag2 0.197 0.197 0.589
Cu2 0.995 0.995 0.967
Ag3 0.598 0.598 0.810
Cu3 0.997 0.997 0.530
Ag4 0.804 0.804 0.903
Ag5 0.805 0.805 0.399
Ag6 0.413 0.413 0.208
Cu4 0.199 0.199 0.104

Results
Space-group type: Cm (8)
Calculated density (Mg/m³): 9.6

Energetically preferred structure: entry x | next structure: +0.006 eV/atom

Entry w
VASP calculation (GGA-PBE) on a relaxed Cu2Ag3 crystal.

abc: 5.857 5.857 9.605
angles: 97.70 97.70 28.50
Sites, in units of the cell vectors:
Cu1 0.694 0.694 0.110
Ag1 0.317 0.317 0.907
Cu2 0.015 0.015 0.022
Cu3 0.097 0.097 0.294
Ag2 0.181 0.181 0.601
Ag3 0.791 0.791 0.395
Ag4 0.906 0.906 0.679
Ag5 0.401 0.401 0.195
Cu4 0.498 0.498 0.472
Ag6 0.600 0.600 0.826

Results
Space-group type: Cm (8)
Calculated density (Mg/m³): 9.6

Entry x
VASP calculation (GGA-PBE) on a relaxed Cu2Ag3 crystal.

abc: 4.873 4.873 11.881
angles: 99.43 99.43 33.97
Sites, in units of the cell vectors:
Ag1 0.308 0.308 0.084
Ag2 0.601 0.601 0.192
Ag3 0.395 0.395 0.815
Cu1 0.903 0.903 0.294
Cu2 0.015 0.015 0.997
Ag4 0.793 0.793 0.612
Ag5 0.206 0.206 0.395
Cu3 0.685 0.685 0.895
Cu4 0.095 0.095 0.713
Ag6 0.499 0.499 0.503

Results
Space-group type: Cm (8)
Calculated density (Mg/m³): 9.6

Energetically preferred structure: entry w | next structure: +0.006 eV/atom

Entry w
VASP calculation (GGA-PBE) on a relaxed Cu2Ag3 crystal.

abc: 6.865 2.839 8.220
angles: 90.00 104.32 90.00
Sites, in units of the cell vectors:
Ag1 0.454 0.250 0.829
Cu1 0.742 0.750 0.731
Ag2 0.159 0.750 0.963
Ag3 0.045 0.250 0.651
Cu2 0.258 0.250 0.269
Cu3 0.640 0.250 0.465
Ag4 0.546 0.750 0.171
Cu4 0.360 0.750 0.535
Ag5 0.955 0.750 0.349
Ag6 0.841 0.250 0.037

Results
Space-group type: P2_1/m (11)
Calculated density (Mg/m³): 9.6

Entry x
VASP calculation (GGA-PBE) on a relaxed Cu2Ag3 crystal.

abc: 7.904 7.904 7.158
angles: 102.59 102.59 20.92
Sites, in units of the cell vectors:
Ag1 0.402 0.402 0.692
Ag2 0.598 0.598 0.308
Cu1 0.421 0.421 0.222
Ag3 0.182 0.182 0.056
Ag4 0.799 0.799 0.368
Ag5 0.201 0.201 0.632
Cu2 0.579 0.579 0.778
Ag6 0.818 0.818 0.944
Cu3 0.000 0.000 0.500
Cu4 0.000 0.000 0.000

Results
Space-group type: C2/m (12)
Calculated density (Mg/m³): 9.6

Energetically preferred structure: entry x | next structure: +0.006 eV/atom

Entry w
VASP calculation (GGA-PBE) on a relaxed Cu5Ag4 crystal.

abc: 12.956 12.956 12.956
angles: 167.75 163.58 20.54
Sites, in units of the cell vectors:
Ag1 0.348 0.348 0.000
Ag2 0.652 0.652 0.000
Ag3 0.217 0.217 0.000
Ag4 0.783 0.783 0.000
Cu1 0.548 0.548 0.000
Cu2 0.000 0.000 0.000
Cu3 0.452 0.452 0.000
Cu4 0.096 0.096 0.000
Cu5 0.904 0.904 0.000

Results
Space-group type: Immm (71)
Calculated density (Mg/m³): 9.5

Entry x
VASP calculation (GGA-PBE) on a relaxed Cu5Ag4 crystal.

abc: 2.781 2.781 19.783
angles: 90.00 90.00 120.00
Sites, in units of the cell vectors:
Ag1 0.667 0.333 0.437
Cu1 0.667 0.333 0.774
Cu2 0.000 0.000 0.675
Cu3 0.000 0.000 0.325
Cu4 0.000 0.000 0.000
Ag2 0.667 0.333 0.113
Ag3 0.333 0.667 0.887
Ag4 0.333 0.667 0.563
Cu5 0.333 0.667 0.226

Results
Space-group type: P-3m1 (164)
Calculated density (Mg/m³): 9.4

Energetically preferred structure: entry w | next structure: +0.035 eV/atom